Record 1
Na3Ga11: relaxed, PBE.

The structure belongs to space group Immm (No. 71); the cell edges are 4.4795, 9.7183 and 13.0446 Å and the angles 90.00°, 90.00° and 90.00°. The inequivalent atoms are Na at (0.0000, 0.0000, 0.0000), Na at (0.0000, 0.0000, 0.2940), Ga at (0.0000, 0.1788, 0.5000), Ga at (0.0000, 0.2826, 0.1516), Ga at (0.0000, 0.3685, 0.3479) and Ga at (0.0000, 0.5000, 0.0000).

The mass density comes out at 4.89 Mg/m³. For the total energy, the calculation gives -2.7719 eV/atom. For the volume, the calculation gives 567.9 Å³ per cell. Its calculated formation energy is -111 meV/atom.


Record 2
LaPm3Ir3: relaxed, PBE.

The structure belongs to space group R-3 (No. 148, hexagonal axes); the cell edges are 8.7014, 8.7014 and 17.1656 Å and the angles 90.00°, 90.00° and 120.00°. The inequivalent atoms are La at (0.0000, 0.0000, 0.1741), Pm at (0.0164, 0.7351, 0.6015) and Ir at (0.0086, 0.6314, 0.4358).

The mass density comes out at 10.18 Mg/m³. For the total energy, the calculation gives -7.1553 eV/atom. For the volume, the calculation gives 1125.6 Å³ per cell. Its calculated formation energy is -618 meV/atom.


Record 3
Ag2SbCl: relaxed, PBE.

The structure belongs to space group I-4m2 (No. 119); the cell edges are 4.1301, 4.1301 and 10.3970 Å and the angles 90.00°, 90.00° and 90.00°. The inequivalent atoms are Ag at (0.0000, 0.0000, 0.0000), Ag at (0.0000, 0.5000, 0.2500), Sb at (0.0000, 0.0000, 0.5000) and Cl at (0.0000, 0.5000, 0.7500).

The mass density comes out at 6.98 Mg/m³. For the uncorrected formation energy, the calculation gives 123.7 meV/atom. For the total energy, the calculation gives -2.7942 eV/atom. For the volume, the calculation gives 177.3 Å³ per cell. As for the offset from the most stable computed form: 1.05 eV per formula unit.


Record 4
ThAlGaAu: relaxed, PBE.

The structure belongs to space group F-43m (No. 216); the cell edges are 7.0191, 7.0191 and 7.0191 Å and the angles 90.00°, 90.00° and 90.00°. The inequivalent atoms are Th at (0.0000, 0.0000, 0.0000), Al at (0.0000, 0.0000, 0.5000), Ga at (0.2500, 0.2500, 0.7500) and Au at (0.2500, 0.2500, 0.2500).

The mass density comes out at 10.10 Mg/m³. For the total energy, the calculation gives -4.7788 eV/atom. For the volume, the calculation gives 345.8 Å³ per cell. Its calculated formation energy is -412 meV/atom.